# 1
A plane-wave DFT calculation with PBE was carried out for a geometry-optimized Ni15Ge4W structure.

The space group is P4/mmm (No. 123) and the conventional cell measures 3.591, 3.591 and 17.956 Å, with angles of 90.00, 90.00 and 90.00 degrees. The distinct sites, in fractional coordinates, are Ni at (0.000, 0.000, 0.000), Ni at (0.000, 0.000, 0.200), Ni at (0.000, 0.000, 0.400), Ni at (0.000, 0.500, 0.100), Ni at (0.000, 0.500, 0.301), Ni at (0.000, 0.500, 0.500), Ge at (0.500, 0.500, 0.206), Ge at (0.500, 0.500, 0.401) and W at (0.500, 0.500, 0.000).

The formation energy comes out at -235.5 meV/atom. As for the total magnetic moment: 0.000 Bohr magnetons per cell. Its total energy is -6.143 eV/atom.



# 2
A plane-wave DFT calculation with PBE was carried out for a geometry-optimized Na3Bi2Pt structure.

The space group is C2/m (No. 12) and the conventional cell measures 17.786, 3.705 and 5.246 Å, with angles of 90.00, 107.15 and 90.00 degrees. The distinct sites, in fractional coordinates, are Na at (0.000, 0.000, 0.000), Na at (0.181, 0.500, 0.179), Bi at (0.123, 0.000, 0.621) and Pt at (0.000, 0.500, 0.500).

The formation energy comes out at -358.2 meV/atom. As for the total magnetic moment: 0.000 Bohr magnetons per cell. Its total energy is -3.318 eV/atom. For the polymorph energy (0 for the lowest one), the calculation gives 0.00 eV per formula unit.



# 3
A plane-wave DFT calculation with PBE was carried out for a geometry-optimized Be3Tl structure.

The space group is Pmmn (No. 59, origin choice 2) and the conventional cell measures 4.979, 5.511 and 4.062 Å, with angles of 90.00, 90.00 and 90.00 degrees. The distinct sites, in fractional coordinates, are Be at (0.039, 0.250, 0.175), Be at (0.250, 0.250, 0.675) and Tl at (0.250, 0.750, 0.324).

The formation energy comes out at 623.8 meV/atom. As for the total magnetic moment: 0.000 Bohr magnetons per cell. Its total energy is -2.762 eV/atom. For the polymorph energy (0 for the lowest one), the calculation gives 1.07 eV per formula unit.



# 4
A plane-wave DFT calculation with PBE was carried out for a geometry-optimized PrSm2Mg3 structure.

The space group is P4/mmm (No. 123) and the conventional cell measures 3.868, 3.868 and 11.631 Å, with angles of 90.00, 90.00 and 90.00 degrees. The distinct sites, in fractional coordinates, are Pr at (0.000, 0.000, 0.000), Sm at (0.000, 0.000, 0.336), Mg at (0.500, 0.500, 0.172) and Mg at (0.500, 0.500, 0.500).

The formation energy comes out at -105.4 meV/atom. As for the total magnetic moment: 0.000 Bohr magnetons per cell. Its total energy is -3.272 eV/atom.